The following is a DFT calculation (PBE) of EuTmCdAg after structural relaxation.

Structure (CIF):
```
data_EuTmCdAg
_cell_length_a 5.2979
_cell_length_b 5.2979
_cell_length_c 5.2979
_cell_angle_alpha 60.00
_cell_angle_beta 60.00
_cell_angle_gamma 60.00
_symmetry_space_group_name_H-M 'P 1'
_symmetry_Int_Tables_number 1
loop_
_symmetry_equiv_pos_as_xyz
'x,y,z'
loop_
_atom_site_label
_atom_site_type_symbol
_atom_site_fract_x
_atom_site_fract_y
_atom_site_fract_z
_atom_site_occupancy
Eu1 Eu 0.5000 0.5000 0.5000 1
Tm1 Tm 0.0000 0.0000 0.0000 1
Ag1 Ag 0.2500 0.2500 0.2500 1
Cd1 Cd 0.7500 0.7500 0.7500 1
```

Values from the calculation:
density of states at the Fermi level = 5.5 states/eV per cell
energy = -19.59 eV per cell
energy relative to the elements = -0.2692 eV per atom
space group = F-43m, No. 216